# ScTl2P

A geometry-optimized ScTl2P structure (PBE, the Alexandria database).

Unit cell a=8.1363 b=8.1363 c=6.4526 alpha=50.92 beta=50.92 gamma=90.00
Sites, in units of the cell vectors:
1 Sc 0.0000 0.0000 0.0000
2 Sc 0.7500 0.2500 0.5000
3 P 0.5000 0.5000 0.0000
4 P 0.2500 0.7500 0.5000
5 Tl 0.5966 0.1250 0.2500
6 Tl 0.1534 0.6250 0.2500
7 Tl 0.3750 0.4034 0.7500
8 Tl 0.8750 0.8466 0.7500

The value obtained for the calculated density is 8.32 g/cm3. As for the volume: 96.7 Å³/f.u. The value obtained for the formation energy is 0.0 eV/f.u. The value obtained for the energy is -4.1173 eV per atom.